1) A plane-wave DFT calculation with PBE was carried out for a relaxed structure of KSn3Os.

For the size of the total moment, the calculation gives 3.07 μB per cell. The space group is Pm-3m, No. 221.

Cell lengths 5.644, 5.644, 5.644 Å; angles 90.00, 90.00, 90.00 degrees
Positions (direct):
K: 0.000 0.000 0.000
Os: 0.500 0.500 0.500
Sn: 0.000 0.500 0.000
Sn: 0.000 0.000 0.500
Sn: 0.500 0.000 0.000

---

2) A plane-wave DFT calculation with PBE was carried out for a relaxed structure of KSn3Os.

For the size of the total moment, the calculation gives 1.75 μB per cell. The space group is Pm-3m, No. 221.

Cell lengths 5.269, 5.269, 5.269 Å; angles 90.00, 90.00, 90.00 degrees
Positions (direct):
K: 0.500 0.500 0.500
Os: 0.000 0.000 0.000
Sn: 0.000 0.500 0.000
Sn: 0.000 0.000 0.500
Sn: 0.500 0.000 0.000

---

Which of them is most stable, and which least? Most stable: 2); least stable: 1).

---

1) A plane-wave DFT calculation with PBE was carried out for a relaxed structure of K2SrOs.

For the size of the total moment, the calculation gives 1.73 μB per cell. The space group is P4/mmm, No. 123.

Cell lengths 4.740, 4.741, 6.072 Å; angles 90.00, 90.00, 90.00 degrees
Positions (direct):
K: 0.000 0.000 0.000
K: 0.500 0.500 0.000
Os: 0.500 0.000 0.500
Sr: 0.000 0.500 0.500

---

2) A plane-wave DFT calculation with PBE was carried out for a relaxed structure of K2SrOs.

For the size of the total moment, the calculation gives 0.43 μB per cell. The space group is Immm, No. 71.

Cell lengths 10.254, 10.254, 5.156 Å; angles 75.47, 75.47, 18.38 degrees
Positions (direct):
K: 0.096 0.096 0.903
K: 0.404 0.404 0.597
Os: 0.750 0.750 0.750
Sr: 0.250 0.250 0.250

---

Which of them is most stable, and which least? Most stable: 2); least stable: 1).

---

1) A plane-wave DFT calculation with PBE was carried out for a relaxed structure of K2SrOs.

For the size of the total moment, the calculation gives 1.09 μB per cell. The space group is P2/m, No. 10.

Cell lengths 6.357, 3.568, 5.725 Å; angles 86.15, 90.00, 90.00 degrees
Positions (direct):
K: 0.000 0.019 0.031
K: 0.000 0.481 0.469
Os: 0.500 0.250 0.250
Sr: 0.500 0.750 0.750

---

2) A plane-wave DFT calculation with PBE was carried out for a relaxed structure of K2SrOs.

For the size of the total moment, the calculation gives 1.03 μB per cell. The space group is C2/m, No. 12.

Cell lengths 5.582, 7.277, 3.572 Å; angles 76.86, 87.29, 111.83 degrees
Positions (direct):
K: 0.000 0.000 0.000
K: 0.500 0.000 0.500
Os: 0.000 0.500 0.500
Sr: 0.500 0.500 0.000

---

3) A plane-wave DFT calculation with PBE was carried out for a relaxed structure of K2SrOs.

For the size of the total moment, the calculation gives 0.32 μB per cell. The space group is Cm, No. 8.

Cell lengths 5.665, 5.665, 10.022 Å; angles 74.96, 74.96, 32.96 degrees
Positions (direct):
K: 0.988 0.988 0.930
K: 0.141 0.141 0.320
Os: 0.552 0.552 0.625
Sr: 0.819 0.819 0.625

---

4) A plane-wave DFT calculation with PBE was carried out for a relaxed structure of K2SrOs.

For the size of the total moment, the calculation gives 1.36 μB per cell. The space group is Imm2, No. 44.

Cell lengths 5.853, 5.853, 5.853 Å; angles 126.68, 117.98, 86.19 degrees
Positions (direct):
K: 0.008 0.008 0.000
K: 0.735 0.235 0.500
Os: 0.475 0.475 0.000
Sr: 0.282 0.782 0.500

---

Which of them is most stable, and which least? Most stable: 3); least stable: 2).

---

1) A plane-wave DFT calculation with PBE was carried out for a relaxed structure of KSrOs2.

For the size of the total moment, the calculation gives 0.00 μB per cell. The space group is Imm2, No. 44.

Cell lengths 5.817, 5.817, 5.817 Å; angles 138.23, 123.77, 72.44 degrees
Positions (direct):
K: 0.223 0.723 0.500
Os: 0.937 0.937 0.000
Os: 0.820 0.320 0.500
Sr: 0.520 0.520 0.000

---

2) A plane-wave DFT calculation with PBE was carried out for a relaxed structure of KSrOs2.

For the size of the total moment, the calculation gives 0.00 μB per cell. The space group is P4/mmm, No. 123.

Cell lengths 4.123, 4.123, 7.127 Å; angles 90.00, 90.00, 90.00 degrees
Positions (direct):
K: 0.500 0.500 0.750
Os: 0.000 0.000 0.093
Os: 0.000 0.000 0.407
Sr: 0.500 0.500 0.250

---

3) A plane-wave DFT calculation with PBE was carried out for a relaxed structure of KSrOs2.

For the size of the total moment, the calculation gives 0.00 μB per cell. The space group is P4/mmm, No. 123.

Cell lengths 3.899, 3.899, 5.318 Å; angles 90.00, 90.00, 90.00 degrees
Positions (direct):
K: 0.000 0.500 0.500
Os: 0.000 0.000 0.000
Os: 0.500 0.500 0.000
Sr: 0.500 0.000 0.500

---

4) A plane-wave DFT calculation with PBE was carried out for a relaxed structure of KSrOs2.

For the size of the total moment, the calculation gives 3.07 μB per cell. The space group is I-42d, No. 122.

Cell lengths 8.681, 8.681, 6.671 Å; angles 49.41, 49.41, 90.00 degrees
Positions (direct):
Sr: 0.000 0.000 0.000
Sr: 0.750 0.250 0.500
K: 0.500 0.500 0.000
K: 0.250 0.750 0.500
Os: 0.628 0.125 0.250
Os: 0.122 0.625 0.250
Os: 0.375 0.372 0.750
Os: 0.875 0.878 0.750

---

Which of them is most stable, and which least? Most stable: 1); least stable: 4).

---

1) A plane-wave DFT calculation with PBE was carried out for a relaxed structure of KSrOs2.

For the size of the total moment, the calculation gives 0.00 μB per cell. The space group is Pm, No. 6.

Cell lengths 3.895, 2.962, 9.892 Å; angles 78.45, 90.00, 90.00 degrees
Positions (direct):
K: 0.500 0.606 0.825
Os: 0.000 0.906 0.093
Os: 0.500 0.325 0.176
Sr: 0.000 0.663 0.405

---

2) A plane-wave DFT calculation with PBE was carried out for a relaxed structure of KSrOs2.

For the size of the total moment, the calculation gives 0.00 μB per cell. The space group is C2/m, No. 12.

Cell lengths 5.844, 5.844, 3.007 Å; angles 89.97, 89.97, 126.23 degrees
Positions (direct):
K: 0.000 0.500 0.500
Os: 0.000 0.000 0.000
Os: 0.500 0.500 0.000
Sr: 0.500 0.000 0.500

---

3) A plane-wave DFT calculation with PBE was carried out for a relaxed structure of KSrOs2.

For the size of the total moment, the calculation gives 0.01 μB per cell. The space group is F-43m, No. 216.

Cell lengths 4.923, 4.923, 4.923 Å; angles 60.00, 60.00, 60.00 degrees
Positions (direct):
K: 0.500 0.500 0.500
Os: 0.000 0.000 0.000
Os: 0.250 0.250 0.250
Sr: 0.750 0.750 0.750

---

Which of them is most stable, and which least? Most stable: 1); least stable: 3).

---

1) A plane-wave DFT calculation with PBE was carried out for a relaxed structure of KSrOs2.

For the size of the total moment, the calculation gives 0.00 μB per cell. The space group is P2/m, No. 10.

Cell lengths 5.218, 2.852, 7.847 Å; angles 68.03, 90.00, 90.00 degrees
Positions (direct):
K: 0.500 0.750 0.750
Os: 0.000 0.914 0.093
Os: 0.000 0.586 0.407
Sr: 0.500 0.250 0.250

---

2) A plane-wave DFT calculation with PBE was carried out for a relaxed structure of KSrOs2.

For the size of the total moment, the calculation gives 0.00 μB per cell. The space group is Cmmm, No. 65.

Cell lengths 2.805, 2.805, 10.744 Å; angles 90.00, 90.00, 103.93 degrees
Positions (direct):
K: 0.500 0.500 0.750
Os: 0.000 0.000 0.013
Os: 0.000 0.000 0.487
Sr: 0.500 0.500 0.250

---

3) A plane-wave DFT calculation with PBE was carried out for a relaxed structure of KSrOs2.

For the size of the total moment, the calculation gives 0.00 μB per cell. The space group is Cm, No. 8.

Cell lengths 4.164, 4.164, 9.424 Å; angles 78.38, 78.38, 59.97 degrees
Positions (direct):
K: 0.291 0.291 0.150
Os: 0.040 0.040 0.880
Os: 0.716 0.716 0.849
Sr: 0.453 0.453 0.621

---

Which of them is most stable, and which least? Most stable: 3); least stable: 2).

---

1) A plane-wave DFT calculation with PBE was carried out for a relaxed structure of KSrOs2.

For the size of the total moment, the calculation gives 0.59 μB per cell. The space group is P4/mmm, No. 123.

Cell lengths 2.805, 2.805, 10.643 Å; angles 90.00, 90.00, 90.00 degrees
Positions (direct):
K: 0.500 0.500 0.750
Os: 0.000 0.000 0.014
Os: 0.000 0.000 0.486
Sr: 0.500 0.500 0.250

---

2) A plane-wave DFT calculation with PBE was carried out for a relaxed structure of KSrOs2.

For the size of the total moment, the calculation gives 0.00 μB per cell. The space group is C2/m, No. 12.

Cell lengths 6.004, 6.004, 7.547 Å; angles 58.05, 58.05, 40.18 degrees
Positions (direct):
K: 0.250 0.250 0.250
Os: 0.990 0.990 0.830
Os: 0.510 0.510 0.670
Sr: 0.750 0.750 0.750

---

Which of them is most stable, and which least? Most stable: 2); least stable: 1).

---

1) A plane-wave DFT calculation with PBE was carried out for a relaxed structure of KSrOs2.

For the size of the total moment, the calculation gives 0.00 μB per cell. The space group is Immm, No. 71.

Cell lengths 6.006, 6.006, 6.006 Å; angles 145.64, 138.63, 54.83 degrees
Positions (direct):
K: 0.250 0.750 0.500
Os: 0.999 0.999 0.000
Os: 0.501 0.501 0.000
Sr: 0.750 0.250 0.500

---

2) A plane-wave DFT calculation with PBE was carried out for a relaxed structure of KSrOs2.

For the size of the total moment, the calculation gives 0.61 μB per cell. The space group is R-3m, No. 166.

Cell lengths 11.313, 11.313, 11.313 Å; angles 14.54, 14.54, 14.54 degrees
Positions (direct):
K: 0.750 0.750 0.750
Os: 0.998 0.998 0.998
Os: 0.502 0.502 0.502
Sr: 0.250 0.250 0.250

---

Which of them is most stable, and which least? Most stable: 1); least stable: 2).

---

1) A plane-wave DFT calculation with PBE was carried out for a relaxed structure of KSrOs.

For the size of the total moment, the calculation gives 0.00 μB per cell. The space group is P3m1, No. 156.

Cell lengths 5.487, 5.487, 2.837 Å; angles 90.00, 90.00, 120.00 degrees
Positions (direct):
K: 0.000 0.000 0.836
Os: 0.667 0.333 0.333
Sr: 0.333 0.667 0.831

---

2) A plane-wave DFT calculation with PBE was carried out for a relaxed structure of KSrOs.

For the size of the total moment, the calculation gives 0.00 μB per cell. The space group is Imm2, No. 44.

Cell lengths 8.236, 8.236, 8.236 Å; angles 159.67, 149.64, 36.81 degrees
Positions (direct):
K: 0.961 0.961 0.000
Os: 0.321 0.321 0.000
Sr: 0.717 0.717 0.000

---

3) A plane-wave DFT calculation with PBE was carried out for a relaxed structure of KSrOs.

For the size of the total moment, the calculation gives 0.02 μB per cell. The space group is P3m1, No. 156.

Cell lengths 3.411, 3.411, 8.914 Å; angles 90.00, 90.00, 120.00 degrees
Positions (direct):
K: 0.000 0.000 0.060
Os: 0.667 0.333 0.348
Sr: 0.333 0.667 0.591

---

4) A plane-wave DFT calculation with PBE was carried out for a relaxed structure of KSrOs.

For the size of the total moment, the calculation gives 0.80 μB per cell. The space group is I4mm, No. 107.

Cell lengths 8.851, 8.852, 3.369 Å; angles 79.03, 79.02, 21.94 degrees
Positions (direct):
K: 0.963 0.963 0.037
Os: 0.324 0.324 0.676
Sr: 0.713 0.713 0.287

---

Which of them is most stable, and which least? Most stable: 2); least stable: 3).

---

1) A plane-wave DFT calculation with PBE was carried out for a relaxed structure of KSr3Os.

For the size of the total moment, the calculation gives 0.00 μB per cell. The space group is Pm-3m, No. 221.

Cell lengths 5.776, 5.776, 5.776 Å; angles 90.00, 90.00, 90.00 degrees
Positions (direct):
Sr: 0.000 0.500 0.000
Sr: 0.000 0.000 0.500
Sr: 0.500 0.000 0.000
K: 0.000 0.000 0.000
Os: 0.500 0.500 0.500

---

2) A plane-wave DFT calculation with PBE was carried out for a relaxed structure of KSr3Os.

For the size of the total moment, the calculation gives 0.00 μB per cell. The space group is Pm-3m, No. 221.

Cell lengths 6.039, 6.039, 6.039 Å; angles 90.00, 90.00, 90.00 degrees
Positions (direct):
Sr: 0.000 0.500 0.000
Sr: 0.000 0.000 0.500
Sr: 0.500 0.000 0.000
K: 0.500 0.500 0.500
Os: 0.000 0.000 0.000

---

Which of them is most stable, and which least? Most stable: 2); least stable: 1).

---

1) A plane-wave DFT calculation with PBE was carried out for a relaxed structure of KTaOs2.

For the size of the total moment, the calculation gives 0.29 μB per cell. The space group is Cmm2, No. 35.

Cell lengths 2.797, 2.797, 10.673 Å; angles 90.00, 90.00, 116.61 degrees
Positions (direct):
K: 0.500 0.500 0.765
Os: 0.000 0.000 0.036
Os: 0.500 0.500 0.245
Ta: 0.000 0.000 0.455

---

2) A plane-wave DFT calculation with PBE was carried out for a relaxed structure of KTaOs2.

For the size of the total moment, the calculation gives 0.00 μB per cell. The space group is C2/m, No. 12.

Cell lengths 4.489, 4.489, 7.462 Å; angles 83.76, 83.76, 38.92 degrees
Positions (direct):
K: 0.250 0.250 0.250
Os: 0.023 0.023 0.898
Os: 0.477 0.477 0.602
Ta: 0.750 0.750 0.750

---

Which of them is most stable, and which least? Most stable: 2); least stable: 1).